No. 1
This record from Alexandria via LeMat-Bulk describes a relaxed structure of CsCaTa. The functional is GGA-PBE.

The calculation puts the uncorrected energy at -4.02 eV/atom. The density of states at the Fermi level comes out at 6.04 states/eV/cell. The magnetic moment comes out at 0.00 μB per formula unit. The formation energy is 878 meV per atom. For the density, the calculation gives 4.52 g/cm³. For the distance to the lowest polymorph of the same formula, the calculation gives 426 meV/atom.

It has space group P1 (No. 1), with a = 3.926 Å, b = 6.752 Å, c = 10.066 Å, α = 77.00°, β = 88.96° and γ = 89.49°. The asymmetric unit holds Cs at (0.000, 0.000, 0.000), Cs at (0.498, 0.446, 0.188), Ca at (0.471, 0.601, 0.687), Ca at (0.968, 0.109, 0.560), Ta at (0.480, 0.901, 0.377) and Ta at (0.981, 0.657, 0.438).

No. 2
This record from Alexandria via LeMat-Bulk describes a relaxed structure of CsCaTa. The functional is GGA-PBE.

The calculation puts the uncorrected energy at -3.63 eV/atom. The density of states at the Fermi level comes out at 7.62 states/eV/cell. The magnetic moment comes out at 0.00 μB per formula unit. The formation energy is 1272 meV per atom. For the density, the calculation gives 4.25 g/cm³. For the distance to the lowest polymorph of the same formula, the calculation gives 820 meV/atom.

It has space group P-6m2 (No. 187), with a = 6.0270 Å, b = 6.0270 Å, c = 8.8020 Å, α = 90.00°, β = 90.00° and γ = 120.00°. The asymmetric unit holds Cs at (0.0000, 0.0000, 0.0000), Cs at (0.0000, 0.0000, 0.5000), Ca at (0.6667, 0.3333, 0.1973) and Ta at (0.3333, 0.6667, 0.1288).

> What is the density in the first record?

4.52 g/cm³